[1]
Density functional theory data (PBE-GGA) for crystalline Pu2SnPb4 at its relaxed geometry.

```
data_Pu2SnPb4
_chemical_formula_sum 'Pu4 Sn2 Pb8'
_cell_length_a 9.468
_cell_length_b 9.426
_cell_length_c 6.715
_cell_angle_alpha 90.00
_cell_angle_beta 134.71
_cell_angle_gamma 90.00
_symmetry_space_group_name_H-M 'C 1 2/m 1'
_symmetry_Int_Tables_number 12
_symmetry_space_group_name_Hall '-C 2y'
loop_
_atom_site_label
_atom_site_type_symbol
_atom_site_fract_x
_atom_site_fract_y
_atom_site_fract_z
_atom_site_occupancy
Pu1 Pu 0.250 0.250 0.000 1
Sn1 Sn 0.000 0.000 0.000 1
Pb1 Pb 0.000 0.000 0.500 1
Pb2 Pb 0.000 0.500 0.500 1
Pb3 Pb 0.250 0.250 0.500 1
```

Properties
V ... 425.9 Å³ per cell
Energy of formation from the pure elements ... -0.07 eV per atom
Total magnetization ... 22.94 Bohr magnetons per cell
E_tot ... -95.976 eV per cell

***

[2]
Density functional theory data (PBE-GGA) for crystalline Ce2Ga4SnPd3 at its relaxed geometry.

```
data_Ce2Ga4SnPd3
_chemical_formula_sum 'Ce2 Ga4 Sn1 Pd3'
_cell_length_a 4.289
_cell_length_b 4.289
_cell_length_c 10.928
_cell_angle_alpha 90.00
_cell_angle_beta 90.00
_cell_angle_gamma 90.00
_symmetry_space_group_name_H-M 'P -4 m 2'
_symmetry_Int_Tables_number 115
_symmetry_space_group_name_Hall 'P -4 -2'
loop_
_atom_site_label
_atom_site_type_symbol
_atom_site_fract_x
_atom_site_fract_y
_atom_site_fract_z
_atom_site_occupancy
Ce1 Ce 0.000 0.500 0.235 1
Ga1 Ga 0.000 0.000 0.000 1
Ga2 Ga 0.000 0.500 0.651 1
Ga3 Ga 0.500 0.500 0.000 1
Sn1 Sn 0.000 0.000 0.500 1
Pd1 Pd 0.000 0.500 0.874 1
Pd2 Pd 0.500 0.500 0.500 1
```

Properties
V ... 201.0 Å³ per cell
Energy of formation from the pure elements ... -0.68 eV per atom
Total magnetization ... 1.27 Bohr magnetons per cell
E_tot ... -50.400 eV per cell

***

[3]
Density functional theory data (PBE-GGA) for crystalline EuHoZnHg at its relaxed geometry.

```
data_EuHoZnHg
_chemical_formula_sum 'Eu4 Ho4 Zn4 Hg4'
_cell_length_a 7.444
_cell_length_b 7.444
_cell_length_c 7.444
_cell_angle_alpha 90.00
_cell_angle_beta 90.00
_cell_angle_gamma 90.00
_symmetry_space_group_name_H-M 'F -4 3 m'
_symmetry_Int_Tables_number 216
_symmetry_space_group_name_Hall 'F -4 2 3'
loop_
_atom_site_label
_atom_site_type_symbol
_atom_site_fract_x
_atom_site_fract_y
_atom_site_fract_z
_atom_site_occupancy
Eu1 Eu 0.000 0.000 0.000 1
Ho1 Ho 0.000 0.000 0.500 1
Zn1 Zn 0.250 0.250 0.750 1
Hg1 Hg 0.250 0.250 0.250 1
```

Properties
V ... 412.4 Å³ per cell
Energy of formation from the pure elements ... -0.37 eV per atom
Total magnetization ... 27.82 Bohr magnetons per cell
E_tot ... -71.620 eV per cell

***

[4]
Density functional theory data (PBE-GGA) for crystalline BeCuSi at its relaxed geometry.

```
data_BeCuSi
_chemical_formula_sum 'Be1 Cu1 Si1'
_cell_length_a 2.6384
_cell_length_b 2.6384
_cell_length_c 5.6888
_cell_angle_alpha 90.00
_cell_angle_beta 90.00
_cell_angle_gamma 120.00
_symmetry_space_group_name_H-M 'P 3 m 1'
_symmetry_Int_Tables_number 156
_symmetry_space_group_name_Hall 'P 3 -2"'
loop_
_atom_site_label
_atom_site_type_symbol
_atom_site_fract_x
_atom_site_fract_y
_atom_site_fract_z
_atom_site_occupancy
Be1 Be 0.0000 0.0000 0.0000 1
Cu1 Cu 0.6667 0.3333 0.3179 1
Si1 Si 0.3333 0.6667 0.6733 1
```

Properties
V ... 34.3 Å³ per cell
Polymorph energy (0 for the lowest one) ... 119.7 meV per atom
Total magnetization ... 0.00 Bohr magnetons per cell
Formation energy from raw total energies ... 0.162 eV/atom
E_tot ... -12.759 eV per cell

***

[5]
Density functional theory data (PBE-GGA) for crystalline Np2SnPdRh5 at its relaxed geometry.

```
data_Np2SnPdRh5
_chemical_formula_sum 'Np8 Sn4 Pd4 Rh20'
_cell_length_a 6.991
_cell_length_b 6.991
_cell_length_c 13.032
_cell_angle_alpha 90.00
_cell_angle_beta 90.00
_cell_angle_gamma 90.00
_symmetry_space_group_name_H-M 'I 4/m c m'
_symmetry_Int_Tables_number 140
_symmetry_space_group_name_Hall '-I 4 2c'
loop_
_atom_site_label
_atom_site_type_symbol
_atom_site_fract_x
_atom_site_fract_y
_atom_site_fract_z
_atom_site_occupancy
Np1 Np 0.119 0.381 0.000 1
Sn1 Sn 0.000 0.000 0.250 1
Pd1 Pd 0.000 0.500 0.250 1
Rh1 Rh 0.000 0.000 0.000 1
Rh2 Rh 0.230 0.270 0.356 1
```

Properties
V ... 636.8 Å³ per cell
Energy of formation from the pure elements ... -0.11 eV per atom
Total magnetization ... 3.90 Bohr magnetons per cell
E_tot ... -291.298 eV per cell

***

[6]
Density functional theory data (PBE-GGA) for crystalline CaMn2Ru at its relaxed geometry.

```
data_CaMn2Ru
_chemical_formula_sum 'Ca2 Mn4 Ru2'
_cell_length_a 3.111
_cell_length_b 4.690
_cell_length_c 9.584
_cell_angle_alpha 90.00
_cell_angle_beta 90.00
_cell_angle_gamma 90.00
_symmetry_space_group_name_H-M 'I m m 2'
_symmetry_Int_Tables_number 44
_symmetry_space_group_name_Hall 'I 2 -2'
loop_
_atom_site_label
_atom_site_type_symbol
_atom_site_fract_x
_atom_site_fract_y
_atom_site_fract_z
_atom_site_occupancy
Ca1 Ca 0.000 0.000 0.000 1
Mn1 Mn 0.000 0.000 0.549 1
Mn2 Mn 0.000 0.500 0.783 1
Ru1 Ru 0.000 0.500 0.245 1
```

Properties
V ... 139.8 Å³ per cell
Energy of formation from the pure elements ... 0.49 eV per atom
Polymorph energy (0 for the lowest one) ... 166.6 meV per atom
Total magnetization ... 13.99 Bohr magnetons per cell
E_tot ... -55.345 eV per cell